Computed, not measured: AcPrAl after structural relaxation at the PBE level of DFT.

POSCAR file:
```
AcPrAl
1.0
5.3071 0.0000 0.0000
-2.6535 4.5960 0.0000
0.0000 0.0000 3.9732
Ac Pr Al
1 1 1
Direct
0.0000 0.0000 0.0000
0.6667 0.3333 0.4203
0.3333 0.6667 0.6402
```

## Properties
Offset from the most stable computed form: 0.070 eV/atom
Formation enthalpy at 0 K: -0.073 eV per atom
Calculated total energy: -4.28 eV/atom